Density functional theory data (PBE) for a geometry-optimized NbSb2PtI structure.

The space group is P4/mmm (No. 123) and the conventional cell measures 5.1913, 5.1913 and 5.4513 Å, with angles of 90.00, 90.00 and 90.00 degrees. The distinct sites, in fractional coordinates, are Nb at (0.0000, 0.0000, 0.0000), Sb at (0.0000, 0.5000, 0.5000), Pt at (0.5000, 0.5000, 0.5000) and I at (0.5000, 0.5000, 0.0000).

The raw formation energy comes out at 0.90 eV per atom. For the energy relative to the lowest polymorph listed for this composition, the calculation gives 0.0378 eV per atom. As for the density of states at the Fermi level: 6.017 states/eV/f.u.